This record from the Alexandria database describes a relaxed CeDyLuIn crystal. The functional is GGA-PBE.

The space group is F-43m (No. 216) and the conventional cell measures 7.575, 7.575 and 7.575 Å, with angles of 90.00, 90.00 and 90.00 degrees. The asymmetric unit holds Ce at (0.000, 0.000, 0.000), Dy at (0.250, 0.250, 0.750), Lu at (0.250, 0.250, 0.250) and In at (0.000, 0.000, 0.500).

The formation energy comes out at -0.06 eV/atom. The total energy comes out at -4.505 eV per atom. For the total magnetization, the calculation gives 0.182 μB per cell. Its density of states at the Fermi level is 23.1 states/eV/cell.



This record from the Alexandria database describes a relaxed CeDyMgIn crystal. The functional is GGA-PBE.

The space group is F-43m (No. 216) and the conventional cell measures 7.606, 7.606 and 7.606 Å, with angles of 90.00, 90.00 and 90.00 degrees. The asymmetric unit holds Ce at (0.000, 0.000, 0.000), Dy at (0.000, 0.000, 0.500), Mg at (0.250, 0.250, 0.250) and In at (0.250, 0.250, 0.750).

The formation energy comes out at -0.23 eV/atom. The total energy comes out at -3.944 eV per atom. For the total magnetization, the calculation gives 3.722 μB per cell. Its density of states at the Fermi level is 37.6 states/eV/cell.